A plane-wave DFT calculation with meta-GGA SCAN was carried out for Mg2AlBr at its PBEsol-relaxed geometry.

Values from the calculation:
Energy relative to the elements, uncorrected (kJ/mol of atoms): -25
Offset from the most stable computed form (eV per atom): 0.0772
Space-group type: No. 123
Electronic total energy (eV per atom): -9.548

```
Mg2AlBr
1.0
3.316 0.000 0.000
0.000 3.316 0.000
0.000 0.000 7.792
Mg Al Br
2 1 1
Direct
0.000 0.000 0.232
0.000 0.000 0.768
0.500 0.500 0.000
0.500 0.500 0.500
```



A plane-wave DFT calculation with meta-GGA SCAN was carried out for Mg2AlBr at its PBEsol-relaxed geometry.

Values from the calculation:
Energy relative to the elements, uncorrected (kJ/mol of atoms): -17
Offset from the most stable computed form (eV per atom): 0.1555
Space-group type: No. 8
Electronic total energy (eV per atom): -9.470

```
Mg2AlBr
1.0
3.232 0.000 0.000
0.000 4.971 0.040
-1.616 -0.127 5.617
Al Br Mg
1 1 2
Direct
0.513 0.618 0.025
0.751 0.127 0.503
0.990 0.117 0.979
0.247 0.638 0.493
```



A plane-wave DFT calculation with meta-GGA SCAN was carried out for MgAl2Br at its PBEsol-relaxed geometry.

Values from the calculation:
Energy relative to the elements, uncorrected (kJ/mol of atoms): 7
Space-group type: No. 123
Electronic total energy (eV per atom): -9.916

```
MgAl2Br
1.0
-2.083 -1.441 2.924
-0.483 -3.295 -1.968
4.959 -2.192 2.453
Mg Al Br
1 2 1
Direct
0.000 0.000 0.500
0.500 0.000 0.000
0.000 0.500 0.000
0.500 0.500 0.500
```



no.,total moment (μB/atom)
1,0.0000
2,0.0000
3,0.0025